1.
Compound: Er2Te3
Source: OQMD
Functional: PBE
Structure: optimized geometry

The space group is R-3m (No. 166, hexagonal axes) and the conventional cell measures 4.3370, 4.3370 and 32.1237 Å, with angles of 90.00, 90.00 and 120.00 degrees. The distinct sites, in fractional coordinates, are Er at (0.0000, 0.0000, 0.1043), Te at (0.0000, 0.0000, 0.2781) and Te at (0.0000, 0.0000, 0.5000).

The uncorrected energy comes out at -5.039 eV/atom. For the calculated density, the calculation gives 6829 kg/m3.

2.
Compound: Er5Zn2Bi
Source: OQMD
Functional: PBE
Structure: optimized geometry

The space group is I4/mcm (No. 140) and the conventional cell measures 8.083, 8.083 and 12.719 Å, with angles of 90.00, 90.00 and 90.00 degrees. The distinct sites, in fractional coordinates, are Er at (0.000, 0.000, 0.000), Er at (0.152, 0.348, 0.142), Zn at (0.141, 0.359, 0.500) and Bi at (0.000, 0.000, 0.250).

The uncorrected energy comes out at -4.085 eV/atom. For the calculated density, the calculation gives 9400 kg/m3.

3.
Compound: MgFe
Source: OQMD
Functional: PBE
Structure: optimized geometry

The space group is Pm (No. 6) and the conventional cell measures 2.766, 4.491 and 2.779 Å, with angles of 90.00, 119.56 and 90.00 degrees. The distinct sites, in fractional coordinates, are Mg at (0.000, 0.000, 0.000) and Fe at (0.333, 0.500, 0.667).

The uncorrected energy comes out at -4.601 eV/atom. For the calculated density, the calculation gives 4433 kg/m3.

4.
Compound: Th2I
Source: OQMD
Functional: PBE
Structure: optimized geometry

The space group is Fd-3m (No. 227, origin choice 2) and the conventional cell measures 13.728, 13.728 and 13.728 Å, with angles of 90.00, 90.00 and 90.00 degrees. The distinct sites, in fractional coordinates, are Th at (0.000, 0.000, 0.000) and I at (0.125, 0.125, 0.125).

The uncorrected energy comes out at -3.164 eV/atom. For the calculated density, the calculation gives 3034 kg/m3.

5.
Compound: Co3N
Source: OQMD
Functional: PBE
Structure: optimized geometry

The space group is I4/mmm (No. 139) and the conventional cell measures 3.241, 3.241 and 7.610 Å, with angles of 90.00, 90.00 and 90.00 degrees. The distinct sites, in fractional coordinates, are Co at (0.000, 0.000, 0.000), Co at (0.000, 0.500, 0.250) and N at (0.000, 0.000, 0.500).

The uncorrected energy comes out at -6.506 eV/atom. For the calculated density, the calculation gives 7925 kg/m3.

6.
Compound: TmB2
Source: OQMD
Functional: PBE
Structure: optimized geometry

The space group is Fd-3m (No. 227, origin choice 2) and the conventional cell measures 6.443, 6.443 and 6.443 Å, with angles of 90.00, 90.00 and 90.00 degrees. The distinct sites, in fractional coordinates, are Tm at (0.125, 0.125, 0.125) and B at (0.000, 0.000, 0.500).

The uncorrected energy comes out at -5.541 eV/atom. For the calculated density, the calculation gives 9467 kg/m3.

7.
Compound: KPt2O4
Source: OQMD
Functional: PBE
Structure: optimized geometry

The space group is Fd-3m (No. 227, origin choice 2) and the conventional cell measures 9.323, 9.323 and 9.323 Å, with angles of 90.00, 90.00 and 90.00 degrees. The distinct sites, in fractional coordinates, are K at (0.125, 0.125, 0.125), Pt at (0.000, 0.000, 0.500) and O at (0.028, 0.028, 0.722).

The uncorrected energy comes out at -5.361 eV/atom. For the calculated density, the calculation gives 8085 kg/m3.

8.
Compound: CsHfTe3Au
Source: OQMD
Functional: PBE
Structure: optimized geometry

The space group is Pnma (No. 62) and the conventional cell measures 11.477, 4.208 and 16.724 Å, with angles of 90.00, 90.00 and 90.00 degrees. The distinct sites, in fractional coordinates, are Cs at (0.226, 0.250, 0.005), Hf at (0.047, 0.750, 0.744), Te at (0.031, 0.750, 0.145), Te at (0.039, 0.250, 0.620), Te at (0.228, 0.250, 0.311) and Au at (0.239, 0.250, 0.704).

The uncorrected energy comes out at -4.667 eV/atom. For the calculated density, the calculation gives 7328 kg/m3.